<1>
# Nd3YTm3 (PBE-GGA, optimized geometry)
# magnetic moment = 0.001 μB per cell
data_Nd3YTm3
_cell_length_a 6.1961
_cell_length_b 6.1961
_cell_length_c 43.3206
_cell_angle_alpha 90.00
_cell_angle_beta 90.00
_cell_angle_gamma 120.00
_symmetry_space_group_name_H-M 'R -3'
_symmetry_Int_Tables_number 148
_symmetry_space_group_name_Hall '-R 3'
loop_
_atom_site_label
_atom_site_type_symbol
_atom_site_fract_x
_atom_site_fract_y
_atom_site_fract_z
_atom_site_occupancy
Nd1 Nd 0.0003 0.3309 0.1305 1
Y1 Y 0.0000 0.0000 0.3333 1
Tm1 Tm 0.0000 0.3332 0.2686 1

***

<2>
# Nd3YTm3 (PBE-GGA, optimized geometry)
# magnetic moment = 0.001 μB per cell
data_Nd3YTm3
_cell_length_a 9.6194
_cell_length_b 9.6194
_cell_length_c 5.7459
_cell_angle_alpha 90.00
_cell_angle_beta 90.00
_cell_angle_gamma 120.00
_symmetry_space_group_name_H-M 'P 63/m'
_symmetry_Int_Tables_number 176
_symmetry_space_group_name_Hall '-P 6c'
loop_
_atom_site_label
_atom_site_type_symbol
_atom_site_fract_x
_atom_site_fract_y
_atom_site_fract_z
_atom_site_occupancy
Nd1 Nd 0.0473 0.2428 0.2500 1
Y1 Y 0.3333 0.6667 0.2500 1
Tm1 Tm 0.0946 0.4782 0.7500 1

***

From most stable to least stable, the computed energies give <2>, <1>.

***

<1>
# NdY7Tm3 (PBE-GGA, optimized geometry)
# magnetic moment = 0.178 μB per cell
data_NdY7Tm3
_cell_length_a 12.536
_cell_length_b 11.275
_cell_length_c 5.787
_cell_angle_alpha 90.00
_cell_angle_beta 117.42
_cell_angle_gamma 90.00
_symmetry_space_group_name_H-M 'C 1 2/m 1'
_symmetry_Int_Tables_number 12
loop_
_symmetry_equiv_pos_as_xyz
'x,y,z'
'-x,-y,-z'
'-x,y,-z'
'x,-y,z'
'x+1/2,y+1/2,z'
'-x+1/2,-y+1/2,-z'
'-x+1/2,y+1/2,-z'
'x+1/2,-y+1/2,z'
loop_
_atom_site_label
_atom_site_type_symbol
_atom_site_fract_x
_atom_site_fract_y
_atom_site_fract_z
_atom_site_occupancy
Nd1 Nd 0.000 0.000 0.000 1
Y1 Y 0.000 0.000 0.500 1
Y2 Y 0.201 0.301 0.201 1
Y3 Y 0.205 0.500 0.705 1
Tm1 Tm 0.000 0.295 0.500 1
Tm2 Tm 0.000 0.500 0.000 1

***

<2>
# NdY7Tm3 (PBE-GGA, optimized geometry)
# magnetic moment = 0.000 μB per cell
data_NdY7Tm3
_cell_length_a 6.910
_cell_length_b 5.556
_cell_length_c 9.932
_cell_angle_alpha 90.00
_cell_angle_beta 109.04
_cell_angle_gamma 90.00
_symmetry_space_group_name_H-M 'P 1 2/m 1'
_symmetry_Int_Tables_number 10
loop_
_symmetry_equiv_pos_as_xyz
'x,y,z'
'-x,-y,-z'
'-x,y,-z'
'x,-y,z'
loop_
_atom_site_label
_atom_site_type_symbol
_atom_site_fract_x
_atom_site_fract_y
_atom_site_fract_z
_atom_site_occupancy
Nd1 Nd 0.000 0.000 0.000 1
Y1 Y 0.000 0.000 0.500 1
Y2 Y 0.148 0.500 0.788 1
Y3 Y 0.324 0.500 0.141 1
Y4 Y 0.427 0.000 0.332 1
Tm1 Tm 0.275 0.500 0.495 1
Tm2 Tm 0.500 0.000 0.000 1

***

From most stable to least stable, the computed energies give <2>, <1>.

***

<1>
# Nd5YTm (PBE-GGA, optimized geometry)
# magnetic moment = 0.000 μB per cell
data_Nd5YTm
_cell_length_a 16.588
_cell_length_b 6.677
_cell_length_c 10.907
_cell_angle_alpha 90.00
_cell_angle_beta 126.39
_cell_angle_gamma 90.00
_symmetry_space_group_name_H-M 'C 1 2/c 1'
_symmetry_Int_Tables_number 15
loop_
_symmetry_equiv_pos_as_xyz
'x,y,z'
'-x,-y,-z'
'-x,y,-z+1/2'
'x,-y,z+1/2'
'x+1/2,y+1/2,z'
'-x+1/2,-y+1/2,-z'
'-x+1/2,y+1/2,-z+1/2'
'x+1/2,-y+1/2,z+1/2'
loop_
_atom_site_label
_atom_site_type_symbol
_atom_site_fract_x
_atom_site_fract_y
_atom_site_fract_z
_atom_site_occupancy
Nd1 Nd 0.000 0.012 0.250 1
Nd2 Nd 0.092 0.248 0.595 1
Nd3 Nd 0.172 0.253 0.089 1
Y1 Y 0.000 0.486 0.250 1
Tm1 Tm 0.250 0.250 0.500 1

***

<2>
# Nd5YTm (PBE-GGA, optimized geometry)
# magnetic moment = 0.000 μB per cell
data_Nd5YTm
_cell_length_a 6.200
_cell_length_b 17.679
_cell_length_c 9.071
_cell_angle_alpha 90.00
_cell_angle_beta 101.16
_cell_angle_gamma 90.00
_symmetry_space_group_name_H-M 'C 1 2/c 1'
_symmetry_Int_Tables_number 15
loop_
_symmetry_equiv_pos_as_xyz
'x,y,z'
'-x,-y,-z'
'-x,y,-z+1/2'
'x,-y,z+1/2'
'x+1/2,y+1/2,z'
'-x+1/2,-y+1/2,-z'
'-x+1/2,y+1/2,-z+1/2'
'x+1/2,-y+1/2,z+1/2'
loop_
_atom_site_label
_atom_site_type_symbol
_atom_site_fract_x
_atom_site_fract_y
_atom_site_fract_z
_atom_site_occupancy
Nd1 Nd 0.000 0.141 0.250 1
Nd2 Nd 0.109 0.349 0.964 1
Nd3 Nd 0.201 0.186 0.646 1
Y1 Y 0.000 0.000 0.000 1
Tm1 Tm 0.000 0.489 0.250 1

***

From most stable to least stable, the computed energies give <1>, <2>.

***

<1>
# Nd12Y5Tm2 (PBE-GGA, optimized geometry)
# magnetic moment = 0.000 μB per cell
data_Nd12Y5Tm2
_cell_length_a 22.449
_cell_length_b 7.142
_cell_length_c 8.795
_cell_angle_alpha 90.00
_cell_angle_beta 110.43
_cell_angle_gamma 90.00
_symmetry_space_group_name_H-M 'C 1 2/m 1'
_symmetry_Int_Tables_number 12
loop_
_symmetry_equiv_pos_as_xyz
'x,y,z'
'-x,-y,-z'
'-x,y,-z'
'x,-y,z'
'x+1/2,y+1/2,z'
'-x+1/2,-y+1/2,-z'
'-x+1/2,y+1/2,-z'
'x+1/2,-y+1/2,z'
loop_
_atom_site_label
_atom_site_type_symbol
_atom_site_fract_x
_atom_site_fract_y
_atom_site_fract_z
_atom_site_occupancy
Nd1 Nd 0.048 0.000 0.195 1
Nd2 Nd 0.106 0.243 0.885 1
Nd3 Nd 0.142 0.500 0.558 1
Nd4 Nd 0.200 0.247 0.294 1
Y1 Y 0.000 0.500 0.000 1
Y2 Y 0.149 0.000 0.597 1
Y3 Y 0.249 0.500 0.991 1
Tm1 Tm 0.000 0.242 0.500 1

***

<2>
# Nd12Y5Tm2 (PBE-GGA, optimized geometry)
# magnetic moment = 0.000 μB per cell
data_Nd12Y5Tm2
_cell_length_a 16.038
_cell_length_b 9.271
_cell_length_c 8.799
_cell_angle_alpha 90.00
_cell_angle_beta 92.29
_cell_angle_gamma 90.00
_symmetry_space_group_name_H-M 'C 1 2/m 1'
_symmetry_Int_Tables_number 12
loop_
_symmetry_equiv_pos_as_xyz
'x,y,z'
'-x,-y,-z'
'-x,y,-z'
'x,-y,z'
'x+1/2,y+1/2,z'
'-x+1/2,-y+1/2,-z'
'-x+1/2,y+1/2,-z'
'x+1/2,-y+1/2,z'
loop_
_atom_site_label
_atom_site_type_symbol
_atom_site_fract_x
_atom_site_fract_y
_atom_site_fract_z
_atom_site_occupancy
Nd1 Nd 0.060 0.000 0.344 1
Nd2 Nd 0.081 0.500 0.885 1
Nd3 Nd 0.129 0.197 0.682 1
Nd4 Nd 0.151 0.317 0.237 1
Y1 Y 0.000 0.500 0.500 1
Y2 Y 0.203 0.000 0.029 1
Y3 Y 0.232 0.500 0.566 1
Tm1 Tm 0.000 0.171 0.000 1

***

From most stable to least stable, the computed energies give <2>, <1>.

***

<1>
# Nd2Y7Tm2 (PBE-GGA, optimized geometry)
# magnetic moment = 0.000 μB per cell
data_Nd2Y7Tm2
_cell_length_a 9.488
_cell_length_b 9.268
_cell_length_c 8.509
_cell_angle_alpha 90.00
_cell_angle_beta 102.28
_cell_angle_gamma 90.00
_symmetry_space_group_name_H-M 'C 1 2/m 1'
_symmetry_Int_Tables_number 12
loop_
_symmetry_equiv_pos_as_xyz
'x,y,z'
'-x,-y,-z'
'-x,y,-z'
'x,-y,z'
'x+1/2,y+1/2,z'
'-x+1/2,-y+1/2,-z'
'-x+1/2,y+1/2,-z'
'x+1/2,-y+1/2,z'
loop_
_atom_site_label
_atom_site_type_symbol
_atom_site_fract_x
_atom_site_fract_y
_atom_site_fract_z
_atom_site_occupancy
Nd1 Nd 0.107 0.000 0.363 1
Y1 Y 0.000 0.500 0.500 1
Y2 Y 0.190 0.000 0.024 1
Y3 Y 0.201 0.201 0.695 1
Tm1 Tm 0.000 0.318 0.000 1

***

<2>
# Nd2Y7Tm2 (PBE-GGA, optimized geometry)
# magnetic moment = 0.000 μB per cell
data_Nd2Y7Tm2
_cell_length_a 11.184
_cell_length_b 11.680
_cell_length_c 6.066
_cell_angle_alpha 90.00
_cell_angle_beta 113.13
_cell_angle_gamma 90.00
_symmetry_space_group_name_H-M 'C 1 2/m 1'
_symmetry_Int_Tables_number 12
loop_
_symmetry_equiv_pos_as_xyz
'x,y,z'
'-x,-y,-z'
'-x,y,-z'
'x,-y,z'
'x+1/2,y+1/2,z'
'-x+1/2,-y+1/2,-z'
'-x+1/2,y+1/2,-z'
'x+1/2,-y+1/2,z'
loop_
_atom_site_label
_atom_site_type_symbol
_atom_site_fract_x
_atom_site_fract_y
_atom_site_fract_z
_atom_site_occupancy
Nd1 Nd 0.000 0.210 0.000 1
Y1 Y 0.000 0.000 0.500 1
Y2 Y 0.092 0.500 0.307 1
Y3 Y 0.173 0.238 0.677 1
Tm1 Tm 0.233 0.000 0.082 1

***

From most stable to least stable, the computed energies give <2>, <1>.